In2Os after structural relaxation. Source: Alexandria, functional PBE.

POSCAR file:
```
In2Os
1.0
-4.9005 3.9795 1.1255
-1.1657 0.3451 -6.2960
-3.9679 -5.0162 0.4597
Os In
4 8
direct
0.5000 0.5000 0.0000 Os
0.5000 0.0000 0.5000 Os
0.0000 0.5000 0.5000 Os
0.0000 0.0000 0.0000 Os
0.7499 0.7501 0.7501 In
0.2501 0.2501 0.7499 In
0.2499 0.7501 0.7499 In
0.2499 0.7499 0.2499 In
0.7501 0.2499 0.2501 In
0.7499 0.7499 0.2501 In
0.7501 0.2501 0.7501 In
0.2501 0.2499 0.2499 In
```

Computed properties:
Its electronic total energy is -5.17 eV/atom. The density of states at the Fermi level comes out at 4.16 states/eV per cell. For the magnetic moment, the calculation gives 0.000 μB per atom.

=====

InOs3 after structural relaxation. Source: Alexandria, functional PBE.

POSCAR file:
```
InOs3
1.0
-2.7739 0.0734 -0.5816
0.5797 -0.0735 -2.7743
-0.2399 -7.8213 0.1572
In Os
1 3
direct
0.0000 0.0000 0.0000 In
0.0000 0.0000 0.5000 Os
0.5000 0.5000 0.2720 Os
0.5000 0.5000 0.7280 Os
```

Computed properties:
Its electronic total energy is -8.74 eV/atom. The density of states at the Fermi level comes out at 3.18 states/eV per cell. For the magnetic moment, the calculation gives 0.000 μB per atom. The calculation puts the excess energy over the best structure of this formula in the dataset at 0 meV per atom.

=====

InPOs2 after structural relaxation. Source: Alexandria, functional PBE.

POSCAR file:
```
InPOs2
1.0
-2.7759 -0.0997 -1.0323
-0.0440 -2.9356 0.4019
-2.3859 0.9021 6.3286
In P Os
1 1 2
direct
0.5000 0.5000 0.7500 In
0.5000 0.5000 0.2500 P
0.0000 0.0000 0.4528 Os
0.0000 0.0000 0.0472 Os
```

Computed properties:
Its electronic total energy is -7.43 eV/atom. The density of states at the Fermi level comes out at 2.59 states/eV per cell. For the magnetic moment, the calculation gives 0.000 μB per atom. The calculation puts the excess energy over the best structure of this formula in the dataset at 76 meV per atom.